Density functional theory data (PBE-GGA) for crystalline ScTc2AgPd at its relaxed geometry.

Cell lengths 4.8398, 4.8398, 4.8660 Å; angles 90.00, 90.00, 90.00 degrees
With the nearest neighbours (Å) after each atom.
Positions (direct):
Sc: 0.0000 0.0000 0.0000  4 Pd 3.42, 8 Tc 3.43
Tc: 0.0000 0.5000 0.5000  2 Ag 2.42
Tc: 0.5000 0.0000 0.5000  2 Ag 2.42
Ag: 0.5000 0.5000 0.5000  4 Tc 2.42, 2 Pd 2.43
Pd: 0.5000 0.5000 0.0000  2 Ag 2.43

Volume: 114 Å³/cell
Space group: P4/mmm (123)
E_tot: -5.43 eV per atom
N(E_F): 6.0 states/eV/cell
Total moment: 4.928 μB per cell